[1]
Entry from the Alexandria database: FeTeW at its PBEsol-relaxed geometry (meta-GGA SCAN).

Its crystal system is cubic. The calculation puts the electronic total energy at -486.26 eV for the cell shown. The value obtained for the density of states at the Fermi level is 17.52 states/eV/cell.

The structure belongs to space group F-43m (No. 216); the cell edges are 6.010, 6.010 and 6.010 Å and the angles 90.00°, 90.00° and 90.00°. Symmetry generates all atoms from Fe at (0.000, 0.000, 0.000), Te at (0.250, 0.250, 0.250) and W at (0.000, 0.000, 0.500).

[2]
Entry from the Alexandria database: CuTcW2 at its PBEsol-relaxed geometry (meta-GGA SCAN).

Its calculated formation energy is 0.2290 eV/atom. Its crystal system is monoclinic. The value obtained for the density of states at the Fermi level is 3.49 states/eV/cell.

The structure belongs to space group C2/m (No. 12); the cell edges are 5.337, 8.521 and 2.644 Å and the angles 90.00°, 106.83° and 90.00°. Symmetry generates all atoms from Cu at (0.000, 0.000, 0.000), Tc at (0.000, 0.500, 0.000) and W at (0.250, 0.250, 0.500).

[3]
Entry from the Alexandria database: Re2HgSb at its PBEsol-relaxed geometry (meta-GGA SCAN).

Its crystal system is orthorhombic. The calculation puts the electronic total energy at -242.98 eV for the cell shown. The value obtained for the density of states at the Fermi level is 3.16 states/eV/cell.

The structure belongs to space group Pmmm (No. 47); the cell edges are 3.056, 4.607 and 4.979 Å and the angles 90.00°, 90.00° and 90.00°. Symmetry generates all atoms from Re at (0.000, 0.000, 0.000), Re at (0.500, 0.000, 0.500), Hg at (0.000, 0.500, 0.500) and Sb at (0.500, 0.500, 0.000).

[4]
Entry from the Alexandria database: Na3CoF6 at its PBEsol-relaxed geometry (meta-GGA SCAN).

Its crystal system is cubic. The calculation puts the electronic total energy at -311.06 eV for the cell shown. The value obtained for the density of states at the Fermi level is 0.00 states/eV/cell.

The structure belongs to space group Fm-3m (No. 225); the cell edges are 7.920, 7.920 and 7.920 Å and the angles 90.00°, 90.00° and 90.00°. Symmetry generates all atoms from Na at (0.000, 0.000, 0.000), Na at (0.250, 0.250, 0.250), Co at (0.000, 0.000, 0.500) and F at (0.000, 0.000, 0.270).

[5]
Entry from the Alexandria database: K2Mg5Sn3 at its PBEsol-relaxed geometry (meta-GGA SCAN).

Its calculated formation energy is -0.2758 eV/atom. Its crystal system is tetragonal. The value obtained for the density of states at the Fermi level is 5.94 states/eV/cell.

The structure belongs to space group I4/mmm (No. 139); the cell edges are 4.913, 4.913 and 23.447 Å and the angles 90.00°, 90.00° and 90.00°. Symmetry generates all atoms from K at (0.000, 0.000, 0.199), Mg at (0.000, 0.000, 0.500), Mg at (0.000, 0.500, 0.080), Sn at (0.000, 0.000, 0.000) and Sn at (0.000, 0.000, 0.357).

[6]
Entry from the Alexandria database: TlCu2F2 at its PBEsol-relaxed geometry (meta-GGA SCAN).

Its crystal system is tetragonal. The calculation puts the electronic total energy at -227.06 eV for the cell shown. The value obtained for the density of states at the Fermi level is 3.13 states/eV/cell.

The structure belongs to space group I4/mmm (No. 139); the cell edges are 3.479, 3.479 and 11.962 Å and the angles 90.00°, 90.00° and 90.00°. Symmetry generates all atoms from Tl at (0.000, 0.000, 0.000), Cu at (0.000, 0.500, 0.250) and F at (0.000, 0.000, 0.377).

[7]
Entry from the Alexandria database: LiTa2Pt at its PBEsol-relaxed geometry (meta-GGA SCAN).

Its calculated formation energy is -0.1479 eV/atom. Its crystal system is orthorhombic. The value obtained for the density of states at the Fermi level is 4.63 states/eV/cell.

The structure belongs to space group Imm2 (No. 44); the cell edges are 2.883, 4.749 and 9.235 Å and the angles 90.00°, 90.00° and 90.00°. Symmetry generates all atoms from Li at (0.000, 0.000, 0.000), Ta at (0.000, 0.000, 0.528), Ta at (0.000, 0.500, 0.773) and Pt at (0.000, 0.500, 0.276).

[8]
Entry from the Alexandria database: ReSi3Pb at its PBEsol-relaxed geometry (meta-GGA SCAN).

Its crystal system is cubic. The calculation puts the electronic total energy at -163.54 eV for the cell shown. The value obtained for the density of states at the Fermi level is 3.84 states/eV/cell.

The structure belongs to space group Pm-3m (No. 221); the cell edges are 5.051, 5.051 and 5.051 Å and the angles 90.00°, 90.00° and 90.00°. Symmetry generates all atoms from Re at (0.000, 0.000, 0.000), Si at (0.000, 0.500, 0.500) and Pb at (0.500, 0.500, 0.500).

[9]
Entry from the Alexandria database: MgFeBr2 at its PBEsol-relaxed geometry (meta-GGA SCAN).

Its crystal system is orthorhombic. The calculation puts the electronic total energy at -127.48 eV for the cell shown. The value obtained for the density of states at the Fermi level is 2.06 states/eV/cell.

The structure belongs to space group Immm (No. 71); the cell edges are 3.568, 4.114 and 12.971 Å and the angles 90.00°, 90.00° and 90.00°. Symmetry generates all atoms from Mg at (0.000, 0.000, 0.000), Fe at (0.000, 0.000, 0.500) and Br at (0.000, 0.500, 0.139).

[10]
Entry from the Alexandria database: Zr2BeAg at its PBEsol-relaxed geometry (meta-GGA SCAN).

Its calculated formation energy is -0.0696 eV/atom. Its crystal system is tetragonal. The value obtained for the density of states at the Fermi level is 2.48 states/eV/cell.

The structure belongs to space group P4/mmm (No. 123); the cell edges are 3.011, 3.011 and 7.563 Å and the angles 90.00°, 90.00° and 90.00°. Symmetry generates all atoms from Zr at (0.000, 0.000, 0.221), Be at (0.500, 0.500, 0.000) and Ag at (0.500, 0.500, 0.500).

[11]
Entry from the Alexandria database: CsH3Pt at its PBEsol-relaxed geometry (meta-GGA SCAN).

Its crystal system is cubic. The calculation puts the electronic total energy at -108.79 eV for the cell shown. The value obtained for the density of states at the Fermi level is 2.96 states/eV/cell.

The structure belongs to space group Pm-3m (No. 221); the cell edges are 4.154, 4.154 and 4.154 Å and the angles 90.00°, 90.00° and 90.00°. Symmetry generates all atoms from Cs at (0.000, 0.000, 0.000), H at (0.000, 0.000, 0.500) and Pt at (0.500, 0.500, 0.500).

[12]
Entry from the Alexandria database: MgMn2Si at its PBEsol-relaxed geometry (meta-GGA SCAN).

Its crystal system is tetragonal. The calculation puts the electronic total energy at -51.32 eV for the cell shown. The value obtained for the density of states at the Fermi level is 2.78 states/eV/cell.

The structure belongs to space group P4mm (No. 99); the cell edges are 2.847, 2.847 and 6.281 Å and the angles 90.00°, 90.00° and 90.00°. Symmetry generates all atoms from Mg at (0.000, 0.000, 0.000), Mn at (0.000, 0.000, 0.489), Mn at (0.500, 0.500, 0.279) and Si at (0.500, 0.500, 0.688).

[13]
Entry from the Alexandria database: BaPCl at its PBEsol-relaxed geometry (meta-GGA SCAN).

Its crystal system is tetragonal. The calculation puts the electronic total energy at -121.64 eV for the cell shown. The value obtained for the density of states at the Fermi level is 1.95 states/eV/cell.

The structure belongs to space group I4mm (No. 107); the cell edges are 4.191, 4.191 and 9.801 Å and the angles 90.00°, 90.00° and 90.00°. Symmetry generates all atoms from Ba at (0.000, 0.000, 0.000), P at (0.000, 0.000, 0.652) and Cl at (0.000, 0.000, 0.360).

[14]
Entry from the Alexandria database: ZrFePb2 at its PBEsol-relaxed geometry (meta-GGA SCAN).

Its calculated formation energy is 0.2664 eV/atom. Its crystal system is trigonal. The value obtained for the density of states at the Fermi level is 11.36 states/eV/cell.

The structure belongs to space group R-3m (No. 166, hexagonal axes); the cell edges are 3.2697, 3.2697 and 27.0413 Å and the angles 90.00°, 90.00° and 120.00°. Symmetry generates all atoms from Zr at (0.0000, 0.0000, 0.0000), Fe at (0.0000, 0.0000, 0.5000) and Pb at (0.0000, 0.0000, 0.2402).

[15]
Entry from the Alexandria database: LiNiP3O9 at its PBEsol-relaxed geometry (meta-GGA SCAN).

Its crystal system is orthorhombic. The calculation puts the electronic total energy at -550.97 eV for the cell shown. The value obtained for the density of states at the Fermi level is 0.00 states/eV/cell.

The structure belongs to space group Pbcm (No. 57); the cell edges are 4.989, 11.812 and 12.815 Å and the angles 90.00°, 90.00° and 90.00°. Symmetry generates all atoms from Li at (0.030, 0.004, 0.250), Ni at (0.000, 0.000, 0.000), P at (0.244, 0.250, 0.000), P at (0.490, 0.581, 0.133), O at (0.096, 0.155, 0.551), O at (0.193, 0.558, 0.135), O at (0.324, 0.510, 0.594), O at (0.408, 0.107, 0.250) and O at (0.459, 0.201, 0.083).

[16]
Entry from the Alexandria database: CoW2Cl at its PBEsol-relaxed geometry (meta-GGA SCAN).

Its crystal system is cubic. The calculation puts the electronic total energy at -639.03 eV for the cell shown. The value obtained for the density of states at the Fermi level is 6.61 states/eV/cell.

The structure belongs to space group F-43m (No. 216); the cell edges are 6.164, 6.164 and 6.164 Å and the angles 90.00°, 90.00° and 90.00°. Symmetry generates all atoms from Co at (0.000, 0.000, 0.000), W at (0.000, 0.000, 0.500), W at (0.250, 0.250, 0.250) and Cl at (0.250, 0.250, 0.750).

[17]
Entry from the Alexandria database: BaGeTeN2 at its PBEsol-relaxed geometry (meta-GGA SCAN).

Its crystal system is tetragonal. The calculation puts the electronic total energy at -111.35 eV for the cell shown. The value obtained for the density of states at the Fermi level is 1.92 states/eV/cell.

The structure belongs to space group P4/mmm (No. 123); the cell edges are 4.426, 4.426 and 5.320 Å and the angles 90.00°, 90.00° and 90.00°. Symmetry generates all atoms from Ba at (0.000, 0.000, 0.000), Ge at (0.500, 0.500, 0.500), Te at (0.500, 0.500, 0.000) and N at (0.000, 0.500, 0.500).

[18]
Entry from the Alexandria database: Er2Pt at its PBEsol-relaxed geometry (meta-GGA SCAN).

Its calculated formation energy is -1.2171 eV/atom. Its crystal system is orthorhombic. The value obtained for the density of states at the Fermi level is 9.58 states/eV/cell.

The structure belongs to space group Pnma (No. 62); the cell edges are 6.958, 4.654 and 8.594 Å and the angles 90.00°, 90.00° and 90.00°. Symmetry generates all atoms from Er at (0.010, 0.250, 0.170), Er at (0.146, 0.250, 0.580) and Pt at (0.241, 0.250, 0.906).

[19]
Entry from the Alexandria database: BeSiOF2 at its PBEsol-relaxed geometry (meta-GGA SCAN).

Its crystal system is tetragonal. The calculation puts the electronic total energy at -33.22 eV for the cell shown. The value obtained for the density of states at the Fermi level is 1.47 states/eV/cell.

The structure belongs to space group P4/mmm (No. 123); the cell edges are 4.046, 4.046 and 3.336 Å and the angles 90.00°, 90.00° and 90.00°. Symmetry generates all atoms from Be at (0.000, 0.000, 0.000), Si at (0.500, 0.500, 0.500), O at (0.500, 0.500, 0.000) and F at (0.000, 0.500, 0.500).

[20]
Entry from the Alexandria database: KRb2Tc2 at its PBEsol-relaxed geometry (meta-GGA SCAN).

Its calculated formation energy is 1.3619 eV/atom. Its crystal system is tetragonal. The value obtained for the density of states at the Fermi level is 7.73 states/eV/cell.

The structure belongs to space group I4/mmm (No. 139); the cell edges are 5.589, 5.589 and 14.341 Å and the angles 90.00°, 90.00° and 90.00°. Symmetry generates all atoms from K at (0.000, 0.000, 0.000), Rb at (0.000, 0.500, 0.250) and Tc at (0.000, 0.000, 0.431).

[21]
Entry from the Alexandria database: NaTiO2 at its PBEsol-relaxed geometry (meta-GGA SCAN).

Its crystal system is cubic. The calculation puts the electronic total energy at -162.27 eV for the cell shown. The value obtained for the density of states at the Fermi level is 16.82 states/eV/cell.

The structure belongs to space group Fm-3m (No. 225); the cell edges are 5.275, 5.275 and 5.275 Å and the angles 90.00°, 90.00° and 90.00°. Symmetry generates all atoms from Na at (0.000, 0.000, 0.000), Ti at (0.000, 0.000, 0.500) and O at (0.250, 0.250, 0.250).

[22]
Entry from the Alexandria database: Mo2O at its PBEsol-relaxed geometry (meta-GGA SCAN).

Its crystal system is cubic. The calculation puts the electronic total energy at -295.88 eV for the cell shown. The value obtained for the density of states at the Fermi level is 14.85 states/eV/cell.

The structure belongs to space group Fm-3m (No. 225); the cell edges are 5.342, 5.342 and 5.342 Å and the angles 90.00°, 90.00° and 90.00°. Symmetry generates all atoms from Mo at (0.250, 0.250, 0.250) and O at (0.000, 0.000, 0.000).

[23]
Entry from the Alexandria database: H3PtPb at its PBEsol-relaxed geometry (meta-GGA SCAN).

Its crystal system is cubic. The calculation puts the electronic total energy at -155.81 eV for the cell shown. The value obtained for the density of states at the Fermi level is 1.17 states/eV/cell.

The structure belongs to space group Pm-3m (No. 221); the cell edges are 3.769, 3.769 and 3.769 Å and the angles 90.00°, 90.00° and 90.00°. Symmetry generates all atoms from H at (0.000, 0.000, 0.500), Pt at (0.000, 0.000, 0.000) and Pb at (0.500, 0.500, 0.500).

[24]
Entry from the Alexandria database: Hf3CdC at its PBEsol-relaxed geometry (meta-GGA SCAN).

Its calculated formation energy is -0.4922 eV/atom. Its crystal system is cubic. The value obtained for the density of states at the Fermi level is 2.01 states/eV/cell.

The structure belongs to space group Pm-3m (No. 221); the cell edges are 4.460, 4.460 and 4.460 Å and the angles 90.00°, 90.00° and 90.00°. Symmetry generates all atoms from Hf at (0.000, 0.000, 0.500), Cd at (0.500, 0.500, 0.500) and C at (0.000, 0.000, 0.000).

[25]
Entry from the Alexandria database: GaTeRhN2 at its PBEsol-relaxed geometry (meta-GGA SCAN).

Its crystal system is tetragonal. The calculation puts the electronic total energy at -101.18 eV for the cell shown. The value obtained for the density of states at the Fermi level is 3.25 states/eV/cell.

The structure belongs to space group P4/mmm (No. 123); the cell edges are 3.836, 3.836 and 5.554 Å and the angles 90.00°, 90.00° and 90.00°. Symmetry generates all atoms from Ga at (0.000, 0.000, 0.000), Te at (0.500, 0.500, 0.000), Rh at (0.500, 0.500, 0.500) and N at (0.000, 0.500, 0.500).

[26]
Entry from the Alexandria database: Ti2CdNiB at its PBEsol-relaxed geometry (meta-GGA SCAN).

Its calculated formation energy is 1.6112 eV/atom. Its crystal system is tetragonal. The value obtained for the density of states at the Fermi level is 3.05 states/eV/cell.

The structure belongs to space group P4/mmm (No. 123); the cell edges are 4.930, 4.930 and 3.899 Å and the angles 90.00°, 90.00° and 90.00°. Symmetry generates all atoms from Ti at (0.000, 0.500, 0.000), Cd at (0.000, 0.000, 0.000), Ni at (0.500, 0.500, 0.500) and B at (0.000, 0.000, 0.500).